# Ni2Au

Crystalline Ni2Au at its relaxed geometry (GGA-PBE, the Alexandria database).

a b c (Å): 6.011 6.011 3.836
angles (deg): 90.00 90.00 144.77
Fractional positions:
Ni 0.093 0.907 0.750
Ni 0.252 0.748 0.250
Ni 0.748 0.252 0.750
Ni 0.907 0.093 0.250
Au 0.411 0.589 0.750
Au 0.589 0.411 0.250

SG: No. 63
VASP energy, eV/cell: -29.00
E_form, eV per atom: 0.113



# Ni3Au

Crystalline Ni3Au at its relaxed geometry (GGA-PBE, the Alexandria database).

a b c (Å): 4.466 4.466 2.705
angles (deg): 90.00 90.00 107.80
Fractional positions:
Ni 0.000 0.000 0.000
Ni 0.000 0.500 0.500
Ni 0.500 0.000 0.500
Au 0.500 0.500 0.000

SG: No. 65
VASP energy, eV/cell: -20.01
E_form, eV per atom: 0.154



# NiAu

Crystalline NiAu at its relaxed geometry (GGA-PBE, the Alexandria database).

a b c (Å): 2.798 2.798 4.376
angles (deg): 90.00 90.00 120.00
Fractional positions:
Ni 0.000 0.000 0.000
Au 0.333 0.667 0.500

SG: No. 187
VASP energy, eV/cell: -8.62
E_form, eV per atom: 0.219